(1)
Density functional theory data (PBE-GGA) for crystalline CaReNi2 at its relaxed geometry.

Values from the calculation:
Crystal system: trigonal
Volume (Å³ per atom): 15.342
Space-group type: R-3m (166)
Offset from the most stable computed form (meV/atom): 368
Magnetic moment (μB/atom): 0.0000

```
CaReNi2
1.0
8.925 -0.011 -0.007
8.477 2.795 -0.007
8.477 1.356 2.444
Ni Re Ca
2 1 1
Direct
0.492 0.492 0.492 Ni
0.008 0.008 0.008 Ni
0.750 0.750 0.750 Re
0.250 0.250 0.250 Ca
```


(2)
Density functional theory data (PBE-GGA) for crystalline La2DyY2Tm2 at its relaxed geometry.

Values from the calculation:
Crystal system: monoclinic
VASP energy (eV for the cell shown): -35.7
Volume (Å³ per atom): 33.394
Space-group type: C2/m (12)
Magnetic moment (μB/atom): 0.0000

```
La2DyY2Tm2
1.0
-2.321 1.999 -1.736
2.762 -3.543 -4.202
-6.858 -9.550 -1.827
Tm La Dy Y
2 2 1 2
Direct
0.229 0.457 0.632 Tm
0.771 0.543 0.368 Tm
0.329 0.657 0.084 La
0.671 0.343 0.916 La
0.000 0.000 0.500 Dy
0.547 0.094 0.233 Y
0.453 0.906 0.767 Y
```


(3)
Density functional theory data (PBE-GGA) for crystalline YNbCu2Os at its relaxed geometry.

Values from the calculation:
Crystal system: tetragonal
Volume (Å³ per atom): 21.120
Space-group type: P4/mmm (123)
Offset from the most stable computed form (meV/atom): 0
Magnetic moment (μB/atom): 0.0000

```
YNbCu2Os
1.0
4.635 0.000 0.000
0.000 4.916 0.000
0.000 0.000 4.635
Nb Y Cu Os
1 1 2 1
Direct
0.500 0.500 0.500 Nb
0.000 0.000 0.000 Y
0.500 0.000 0.000 Cu
0.000 0.000 0.500 Cu
0.000 0.500 0.000 Os
```


(4)
Density functional theory data (PBE-GGA) for crystalline Ac3Pm5S8 at its relaxed geometry.

Values from the calculation:
Crystal system: trigonal
VASP energy (eV for the cell shown): -101.2
Volume (Å³ per atom): 25.060
Space-group type: R-3m (166)
Magnetic moment (μB/atom): 0.0000

```
Ac3Pm5S8
1.0
7.172 0.000 4.108
2.409 6.755 4.108
0.015 0.010 8.289
Pm Ac S
5 3 8
Direct
0.000 0.000 0.000 Pm
0.500 0.500 0.000 Pm
0.500 0.500 0.500 Pm
0.500 0.000 0.000 Pm
0.000 0.500 0.000 Pm
0.000 0.000 0.500 Ac
0.000 0.500 0.500 Ac
0.500 0.000 0.500 Ac
0.738 0.250 0.762 S
0.262 0.750 0.238 S
0.256 0.256 0.231 S
0.750 0.262 0.238 S
0.250 0.738 0.762 S
0.744 0.744 0.769 S
0.250 0.250 0.762 S
0.750 0.750 0.238 S
```


What did the first record say?
Density functional theory data (PBE-GGA) for crystalline CaReNi2 at its relaxed geometry.

Values from the calculation:
Crystal system: trigonal
Volume (Å³ per atom): 15.342
Space-group type: R-3m (166)
Offset from the most stable computed form (meV/atom): 368
Magnetic moment (μB/atom): 0.0000

```
CaReNi2
1.0
8.925 -0.011 -0.007
8.477 2.795 -0.007
8.477 1.356 2.444
Ni Re Ca
2 1 1
Direct
0.492 0.492 0.492 Ni
0.008 0.008 0.008 Ni
0.750 0.750 0.750 Re
0.250 0.250 0.250 Ca
```